[1]
This record from Alexandria via LeMat-Bulk describes crystalline HgOs3 at its relaxed geometry. The functional is PBE.

Computed properties:
The value obtained for the total energy is -7.5752 eV per atom. The density of states at the Fermi level comes out at 12.07 states/eV/cell. As for the energy relative to the elements: 0.92 eV/atom. As for the volume: 15.66 Å³/atom. The value obtained for the offset from the most stable computed form is 2.12 eV/f.u.

a = 5.5555 Å, b = 8.0577 Å, c = 2.7982 Å
α = 90.00°, β = 90.00°, γ = 90.00°
Space group Cmmm (No. 65)
Symmetry-distinct sites (fractional):
1 Hg 0.0000 0.0000 0.0000 (multiplicity 2)
2 Os 0.0000 0.5000 0.0000 (multiplicity 2)
3 Os 0.2500 0.2500 0.5000 (multiplicity 4)

***

[2]
This record from Alexandria via LeMat-Bulk describes crystalline MnAl2Br at its relaxed geometry. The functional is PBE.

Computed properties:
The value obtained for the total energy is -4.2078 eV per atom. The density of states at the Fermi level comes out at 4.53 states/eV/cell. The value obtained for the formation energy from raw total energies is 0.37 eV per atom. As for the volume: 19.49 Å³/atom. The value obtained for the offset from the most stable computed form is 1.32 eV/f.u.

a = 4.0027 Å, b = 4.0027 Å, c = 9.7314 Å
α = 90.00°, β = 90.00°, γ = 90.00°
Space group I4/mmm (No. 139)
Symmetry-distinct sites (fractional):
1 Mn 0.0000 0.0000 0.0000 (multiplicity 2)
2 Al 0.0000 0.5000 0.2500 (multiplicity 4)
3 Br 0.0000 0.0000 0.5000 (multiplicity 2)

***

[3]
This record from Alexandria via LeMat-Bulk describes crystalline CsMoC3 at its relaxed geometry. The functional is PBE.

Computed properties:
The value obtained for the total energy is -6.1150 eV per atom. The density of states at the Fermi level comes out at 2.70 states/eV/cell. As for the energy relative to the elements: 1.76 eV/atom. As for the volume: 15.80 Å³/atom. The value obtained for the offset from the most stable computed form is 0.00 eV/f.u.

a = 4.2906 Å, b = 4.2906 Å, c = 4.2906 Å
α = 90.00°, β = 90.00°, γ = 90.00°
Space group Pm-3m (No. 221)
Symmetry-distinct sites (fractional):
1 Cs 0.0000 0.0000 0.0000 (multiplicity 1)
2 Mo 0.5000 0.5000 0.5000 (multiplicity 1)
3 C 0.0000 0.5000 0.5000 (multiplicity 3)

***

[4]
This record from Alexandria via LeMat-Bulk describes crystalline PmGdGaNi at its relaxed geometry. The functional is PBE.

Computed properties:
The value obtained for the total energy is -7.2941 eV per atom. The density of states at the Fermi level comes out at 15.04 states/eV/cell. As for the energy relative to the elements: -0.38 eV/atom. As for the volume: 22.56 Å³/atom.

a = 7.1204 Å, b = 7.1204 Å, c = 7.1204 Å
α = 90.00°, β = 90.00°, γ = 90.00°
Space group F-43m (No. 216)
Symmetry-distinct sites (fractional):
1 Pm 0.0000 0.0000 0.0000 (multiplicity 4)
2 Gd 0.0000 0.0000 0.5000 (multiplicity 4)
3 Ga 0.2500 0.2500 0.7500 (multiplicity 4)
4 Ni 0.2500 0.2500 0.2500 (multiplicity 4)

***

[5]
This record from Alexandria via LeMat-Bulk describes crystalline LaUO4 at its relaxed geometry. The functional is PBE.

Computed properties:
The value obtained for the total energy is -9.4101 eV per atom. The density of states at the Fermi level comes out at 4.70 states/eV/cell. The value obtained for the formation energy from raw total energies is -3.40 eV per atom. As for the volume: 13.91 Å³/atom.

a = 3.8485 Å, b = 3.8485 Å, c = 5.6355 Å
α = 90.00°, β = 90.00°, γ = 90.00°
Space group P4/mmm (No. 123)
Symmetry-distinct sites (fractional):
1 La 0.0000 0.0000 0.0000 (multiplicity 1)
2 U 0.5000 0.5000 0.5000 (multiplicity 1)
3 O 0.0000 0.5000 0.2744 (multiplicity 4)

***

[6]
This record from Alexandria via LeMat-Bulk describes crystalline LiCoW2Au at its relaxed geometry. The functional is PBE.

Computed properties:
The value obtained for the total energy is -6.5666 eV per atom. The density of states at the Fermi level comes out at 4.67 states/eV/cell. As for the energy relative to the elements: 1.07 eV/atom. As for the volume: 16.54 Å³/atom.

a = 4.4658 Å, b = 4.4658 Å, c = 4.1459 Å
α = 90.00°, β = 90.00°, γ = 90.00°
Space group P4/mmm (No. 123)
Symmetry-distinct sites (fractional):
1 Li 0.0000 0.0000 0.0000 (multiplicity 1)
2 Co 0.0000 0.0000 0.5000 (multiplicity 1)
3 W 0.0000 0.5000 0.5000 (multiplicity 2)
4 Au 0.5000 0.5000 0.0000 (multiplicity 1)

***

[7]
This record from Alexandria via LeMat-Bulk describes crystalline GaGe2Cl8 at its relaxed geometry. The functional is PBE.

Computed properties:
The value obtained for the total energy is -3.2458 eV per atom. The density of states at the Fermi level comes out at 6.17 states/eV/cell. The value obtained for the formation energy from raw total energies is -0.79 eV per atom. As for the volume: 35.82 Å³/atom.

a = 12.1553 Å, b = 8.5874 Å, c = 7.9855 Å
α = 90.00°, β = 109.01°, γ = 90.00°
Space group C2/m (No. 12)
Symmetry-distinct sites (fractional):
1 Ga 0.0000 0.0000 0.0000 (multiplicity 2)
2 Ge 0.1093 0.0000 0.6475 (multiplicity 4)
3 Cl 0.0862 0.2001 0.8261 (multiplicity 8)
4 Cl 0.1627 0.0000 0.2175 (multiplicity 4)
5 Cl 0.2015 0.5000 0.3024 (multiplicity 4)

***

[8]
This record from Alexandria via LeMat-Bulk describes crystalline BaSI2 at its relaxed geometry. The functional is PBE.

Computed properties:
The value obtained for the total energy is -2.9769 eV per atom. The density of states at the Fermi level comes out at 19.38 states/eV/cell. The value obtained for the formation energy from raw total energies is -0.69 eV per atom. As for the volume: 36.81 Å³/atom. The value obtained for the offset from the most stable computed form is 0.35 eV/f.u.

a = 8.3823 Å, b = 8.3823 Å, c = 8.3823 Å
α = 90.00°, β = 90.00°, γ = 90.00°
Space group Fm-3m (No. 225)
Symmetry-distinct sites (fractional):
1 Ba 0.0000 0.0000 0.0000 (multiplicity 4)
2 S 0.0000 0.0000 0.5000 (multiplicity 4)
3 I 0.2500 0.2500 0.2500 (multiplicity 8)